Record 1
## Cd4SiAu (PBE)

Data for an optimized crystal structure of Cd4SiAu.

Calculated values
Crystal system   cubic
E_tot   -41.51 eV for the cell shown
Total magnetization   0.00 μB per formula unit

Cell: 8.044 8.044 8.044 Å, 90.00 90.00 90.00°
Space group F-43m (No. 216)
Symmetry-distinct sites (fractional):
Cd  0.125  0.125  0.125
Si  0.250  0.250  0.750
Au  0.000  0.000  0.500

---

Record 2
## CdSiAu4 (PBE)

Data for an optimized crystal structure of CdSiAu4.

Calculated values
Crystal system   cubic
Excess energy over the best structure of this formula in the dataset   261 meV per atom
E_tot   -72.34 eV for the cell shown
Total magnetization   0.00 μB per formula unit

Cell: 7.819 7.819 7.819 Å, 90.00 90.00 90.00°
Space group F-43m (No. 216)
Symmetry-distinct sites (fractional):
Cd  0.000  0.000  0.000
Si  0.250  0.250  0.750
Au  0.125  0.125  0.375

---

Record 3
## Cd2SiAu (PBE)

Data for an optimized crystal structure of Cd2SiAu.

Calculated values
Crystal system   monoclinic
E_tot   -20.00 eV for the cell shown
Total magnetization   0.00 μB per formula unit

Cell: 10.008 2.867 6.475 Å, 90.00 114.52 90.00°
Space group Cm (No. 8)
Symmetry-distinct sites (fractional):
Cd  0.000  0.000  0.000
Cd  0.198  0.000  0.688
Si  0.425  0.000  0.528
Au  0.279  0.500  0.175

---

Record 4
## Cd2SiAu2 (PBE)

Data for an optimized crystal structure of Cd2SiAu2.

Calculated values
Crystal system   tetragonal
Excess energy over the best structure of this formula in the dataset   0 meV per atom
E_tot   -27.16 eV for the cell shown
Total magnetization   0.00 μB per formula unit

Cell: 6.793 6.793 4.359 Å, 90.00 90.00 90.00°
Space group P4/mbm (No. 127)
Symmetry-distinct sites (fractional):
Cd  0.155  0.345  0.000
Si  0.000  0.000  0.500
Au  0.156  0.656  0.500

---

Record 5
## Cd2SiAu2 (PBE)

Data for an optimized crystal structure of Cd2SiAu2.

Calculated values
Crystal system   tetragonal
Excess energy over the best structure of this formula in the dataset   142 meV per atom
E_tot   -25.74 eV for the cell shown
Total magnetization   0.00 μB per formula unit

Cell: 8.340 8.340 2.946 Å, 90.00 90.00 90.00°
Space group P4/mbm (No. 127)
Symmetry-distinct sites (fractional):
Cd  0.132  0.368  0.000
Si  0.000  0.000  0.000
Au  0.166  0.666  0.500

---

Record 6
## Cd2Si2Au (PBE)

Data for an optimized crystal structure of Cd2Si2Au.

Calculated values
Crystal system   tetragonal
Excess energy over the best structure of this formula in the dataset   18 meV per atom
E_tot   -30.28 eV for the cell shown
Total magnetization   0.00 μB per formula unit

Cell: 3.428 3.428 16.866 Å, 90.00 90.00 90.00°
Space group I4/mmm (No. 139)
Symmetry-distinct sites (fractional):
Cd  0.000  0.000  0.100
Si  0.000  0.500  0.250
Au  0.000  0.000  0.500

---

Record 7
## Cd2SiAu (PBE)

Data for an optimized crystal structure of Cd2SiAu.

Calculated values
Crystal system   tetragonal
E_tot   -19.65 eV for the cell shown
Total magnetization   0.00 μB per formula unit

Cell: 4.208 4.208 8.825 Å, 90.00 90.00 90.00°
Space group I-4m2 (No. 119)
Symmetry-distinct sites (fractional):
Cd  0.000  0.000  0.000
Cd  0.000  0.500  0.250
Si  0.000  0.500  0.750
Au  0.000  0.000  0.500

---

Record 8
## CdSi2Au2 (PBE)

Data for an optimized crystal structure of CdSi2Au2.

Calculated values
Crystal system   tetragonal
Excess energy over the best structure of this formula in the dataset   126 meV per atom
E_tot   -34.27 eV for the cell shown
Total magnetization   0.00 μB per formula unit

Cell: 8.159 8.159 2.819 Å, 90.00 90.00 90.00°
Space group P4/mbm (No. 127)
Symmetry-distinct sites (fractional):
Cd  0.000  0.000  0.000
Si  0.107  0.393  0.000
Au  0.195  0.695  0.500

---

Record 9
## CdSiAu3 (PBE)

Data for an optimized crystal structure of CdSiAu3.

Calculated values
Crystal system   cubic
Excess energy over the best structure of this formula in the dataset   224 meV per atom
E_tot   -15.36 eV for the cell shown
Total magnetization   0.00 μB per formula unit

Cell: 4.799 4.799 4.799 Å, 90.00 90.00 90.00°
Space group Pm-3m (No. 221)
Symmetry-distinct sites (fractional):
Cd  0.000  0.000  0.000
Si  0.500  0.500  0.500
Au  0.000  0.500  0.500

---

Record 10
## Cd2Si2Au (PBE)

Data for an optimized crystal structure of Cd2Si2Au.

Calculated values
Crystal system   tetragonal
Excess energy over the best structure of this formula in the dataset   0 meV per atom
E_tot   -30.45 eV for the cell shown
Total magnetization   0.00 μB per formula unit

Cell: 6.268 6.268 5.194 Å, 90.00 90.00 90.00°
Space group P4/mbm (No. 127)
Symmetry-distinct sites (fractional):
Cd  0.181  0.319  0.000
Si  0.133  0.633  0.500
Au  0.000  0.000  0.500

---

Record 11
## Cd2SiAu (PBE)

Data for an optimized crystal structure of Cd2SiAu.

Calculated values
Crystal system   orthorhombic
E_tot   -19.58 eV for the cell shown
Total magnetization   0.00 μB per formula unit

Cell: 2.888 5.501 10.241 Å, 90.00 90.00 90.00°
Space group Cmm2 (No. 35)
Symmetry-distinct sites (fractional):
Cd  0.000  0.000  0.000
Cd  0.000  0.500  0.275
Si  0.000  0.000  0.534
Au  0.000  0.500  0.748

---

Record 12
## Cd2SiAu (PBE)

Data for an optimized crystal structure of Cd2SiAu.

Calculated values
Crystal system   monoclinic
E_tot   -19.71 eV for the cell shown
Total magnetization   0.00 μB per formula unit

Cell: 9.964 3.296 4.810 Å, 90.00 96.24 90.00°
Space group C2/m (No. 12)
Symmetry-distinct sites (fractional):
Cd  0.245  0.000  0.248
Si  0.000  0.000  0.500
Au  0.000  0.500  0.000